LiYZr2Ru at its PBEsol-relaxed geometry, computed with meta-GGA SCAN.

Output
Final energy = -23.856 eV per atom
Energy of formation from the pure elements = 1.4353 eV per atom
DOS(E_F) = 4.32 states/eV per cell
Total moment = 0.153 μB/atom

Unit cell a=4.6981 b=5.1445 c=5.1445 alpha=90.00 beta=90.00 gamma=90.00
Last column: nearest neighbours and their distance in Å.
Sites, in units of the cell vectors:
Li: 0.5000 0.5000 0.5000  8 Zr 3.48, 4 Ru 3.64
Zr: 0.0000 0.5000 0.0000  2 Y 2.57
Zr: 0.0000 0.0000 0.5000  2 Y 2.57
Y: 0.0000 0.0000 0.0000  2 Ru 2.35, 4 Zr 2.57
Ru: 0.5000 0.0000 0.0000  2 Y 2.35

=====

Ti2Nb2Ni2C at its PBEsol-relaxed geometry, computed with meta-GGA SCAN.

Output
Final energy = -20.596 eV per atom
Energy of formation from the pure elements = -0.4866 eV per atom
DOS(E_F) = 29.04 states/eV per cell
Total moment = 0.000 μB/atom

Unit cell a=8.0800 b=8.0800 c=8.0800 alpha=90.54 beta=119.69 gamma=119.69
Last column: nearest neighbours and their distance in Å.
Sites, in units of the cell vectors:
Ti: 0.7570 0.8895 0.1325  6 Ni 2.45-2.48
Ni: 0.6594 0.9966 0.3372  5 Ti 2.46-2.70, 3 Ni 2.59-2.70
C: 0.7498 0.3804 0.1302  2 Ti 2.10, 4 Nb 2.14-2.16
Ti: 0.2430 0.3755 0.1325  6 Ni 2.45-2.48
Ni: 0.8395 0.7642 0.9247  3 Ti 2.45-2.46, 3 Ni 2.52-2.61
Nb: 0.1370 0.0685 0.5685  2 C 2.16
Nb: 0.8630 0.4315 0.9315  2 C 2.16
Nb: 0.5000 0.0598 0.5598  2 C 2.14
Ni: 0.6594 0.6628 0.3223  5 Ti 2.46-2.70, 3 Ni 2.59-2.70
Ni: 0.3406 0.6777 0.3372  5 Ti 2.46-2.70, 3 Ni 2.59-2.70
Ni: 0.1605 0.0753 0.2358  3 Ti 2.45-2.46, 3 Ni 2.52-2.61
Ni: 0.8395 0.0753 0.9148  3 Ti 2.45-2.46, 3 Ni 2.52-2.61
Ti: 0.6245 0.3123 0.3123  2 C 2.10
Nb: 0.5000 0.0685 0.9315  2 C 2.16
C: 0.7498 0.3694 0.6196  2 Ti 2.10, 4 Nb 2.14-2.16
C: 0.2502 0.3804 0.6306  2 Ti 2.10, 4 Nb 2.14-2.16
Ti: 0.2430 0.8675 0.1105  6 Ni 2.45-2.48
Nb: 0.0000 0.6784 0.6784  2 C 2.14
C: 0.2502 0.8698 0.6196  2 Ti 2.10, 4 Nb 2.14-2.16
Nb: 0.5000 0.4402 0.9402  2 C 2.14
Ti: 0.7570 0.8675 0.6245  6 Ni 2.45-2.48
Nb: 0.0000 0.3216 0.3216  2 C 2.14
Ti: 0.0000 0.6877 0.3123  2 C 2.10
Nb: 0.5000 0.4315 0.5685  2 C 2.16
Ni: 0.1605 0.0852 0.9247  3 Ti 2.45-2.46, 3 Ni 2.52-2.61
Ti: 0.3755 0.6877 0.6877  2 C 2.10
Ti: 0.0000 0.3123 0.6877  2 C 2.10
Ni: 0.3406 0.6628 0.0034  5 Ti 2.46-2.70, 3 Ni 2.59-2.70

=====

Repeat the first record exactly.
LiYZr2Ru at its PBEsol-relaxed geometry, computed with meta-GGA SCAN.

Output
Final energy = -23.856 eV per atom
Energy of formation from the pure elements = 1.4353 eV per atom
DOS(E_F) = 4.32 states/eV per cell
Total moment = 0.153 μB/atom

Unit cell a=4.6981 b=5.1445 c=5.1445 alpha=90.00 beta=90.00 gamma=90.00
Last column: nearest neighbours and their distance in Å.
Sites, in units of the cell vectors:
Li: 0.5000 0.5000 0.5000  8 Zr 3.48, 4 Ru 3.64
Zr: 0.0000 0.5000 0.0000  2 Y 2.57
Zr: 0.0000 0.0000 0.5000  2 Y 2.57
Y: 0.0000 0.0000 0.0000  2 Ru 2.35, 4 Zr 2.57
Ru: 0.5000 0.0000 0.0000  2 Y 2.35